## Dy2ScRh3 (PBE-GGA)

Data for a relaxed structure of Dy2ScRh3.

Output
* DOS at the Fermi energy: 3.24 states/eV per cell
* total magnetization: 0.00 μB per cell
* formation energy: -0.90 eV per atom

abc: 3.357 3.357 10.110
angles: 90.00 90.00 90.00
Space group P4/mmm (No. 123)
Asymmetric unit:
Dy 0.000 0.000 0.172 [2 per cell]
Sc 0.000 0.000 0.500 [1 per cell]
Rh 0.500 0.500 0.000 [1 per cell]
Rh 0.500 0.500 0.347 [2 per cell]

---

## Dy2ScRh4 (PBE-GGA)

Data for a relaxed structure of Dy2ScRh4.

Output
* DOS at the Fermi energy: 11.35 states/eV per cell
* total magnetization: 0.00 μB per cell
* formation energy: -0.60 eV per atom

abc: 4.6121 4.6121 22.4832
angles: 90.00 90.00 120.00
Space group R-3m (No. 166, hexagonal axes)
Asymmetric unit:
Dy 0.0000 0.0000 0.2412 [6 per cell]
Sc 0.0000 0.0000 0.0000 [3 per cell]
Rh 0.0000 0.0000 0.1189 [6 per cell]
Rh 0.0000 0.0000 0.3722 [6 per cell]

---

## Dy3Sc7Rh4 (PBE-GGA)

Data for a relaxed structure of Dy3Sc7Rh4.

Output
* DOS at the Fermi energy: 30.81 states/eV per cell
* total magnetization: 0.00 μB per cell
* formation energy: -0.54 eV per atom

abc: 17.636 3.875 10.827
angles: 90.00 122.60 90.00
Space group C2/m (No. 12)
Asymmetric unit:
Dy 0.000 0.000 0.000 [2 per cell]
Dy 0.183 0.500 0.687 [4 per cell]
Sc 0.000 0.000 0.500 [2 per cell]
Sc 0.007 0.500 0.279 [4 per cell]
Sc 0.169 0.000 0.412 [4 per cell]
Sc 0.182 0.500 0.023 [4 per cell]
Rh 0.120 0.000 0.821 [4 per cell]
Rh 0.145 0.500 0.230 [4 per cell]

---

## DyScRh2 (PBE-GGA)

Data for a relaxed structure of DyScRh2.

Output
* DOS at the Fermi energy: 9.90 states/eV per cell
* total magnetization: 0.00 μB per cell
* formation energy: -0.92 eV per atom

abc: 6.662 6.662 6.662
angles: 90.00 90.00 90.00
Space group Fm-3m (No. 225)
Asymmetric unit:
Dy 0.000 0.000 0.000 [4 per cell]
Sc 0.000 0.000 0.500 [4 per cell]
Rh 0.250 0.250 0.250 [8 per cell]